First-principles (SCAN) data for a crystal of SrMg2Bi2 relaxed with PBEsol, as listed in Alexandria via LeMat-Bulk.

Computed properties:
energy = -38.534 eV/atom
DFT formation energy = -3.29 eV/f.u.

a b c (Å): 4.804 4.804 7.899
angles (deg): 90.00 90.00 120.00
Positions (direct):
Sr 0.000 0.000 0.000
Mg 0.667 0.333 0.374
Mg 0.333 0.667 0.626
Bi 0.333 0.667 0.250
Bi 0.667 0.333 0.750

First-principles (SCAN) data for a crystal of As3Ru relaxed with PBEsol, as listed in Alexandria via LeMat-Bulk.

Computed properties:
energy = -23.698 eV/atom
DFT formation energy = 0.61 eV/f.u.
relative energy among the computed polymorphs = 0.000 eV/atom

a b c (Å): 2.954 4.274 6.085
angles (deg): 110.56 104.05 90.00
Positions (direct):
Ru 0.000 0.500 0.000
As 0.690 0.690 0.380
As 0.310 0.310 0.620
As 0.500 0.000 0.000